Entry from Alexandria via LeMat-Bulk: a geometry-optimized CeTl2CuS4 structure (PBE).

Values from the calculation:
SG: I-4 (82)
ΔE_f (raw): -0.675 eV/atom

abc: 6.4331 6.4331 6.4331
angles: 105.68 111.40 111.40
With the nearest neighbours (Å) after each atom.
Positions (direct):
1 Ce 0.5000 0.2500 0.7500  4 S 2.66
2 Tl 0.5000 0.7500 0.2500  8 S 3.15-3.46
3 Tl 0.0000 0.0000 0.0000  4 S 3.01
4 Cu 0.0000 0.5000 0.5000  4 S 2.30
5 S 0.5717 0.3400 0.3943  1 Cu 2.30
6 S 0.0544 0.2317 0.6600  1 Cu 2.30
7 S 0.9456 0.6056 0.1773  1 Cu 2.30
8 S 0.4283 0.8227 0.7683  1 Cu 2.30

Entry from Alexandria via LeMat-Bulk: a geometry-optimized Sm2HoZn4 structure (PBE).

Values from the calculation:
SG: I4/mmm (139)
energy of formation from the pure elements: -155 meV per atom

abc: 5.1840 5.1840 7.3149
angles: 110.75 110.75 90.00
With the nearest neighbours (Å) after each atom.
Positions (direct):
1 Sm 0.7226 0.7226 0.4451  4 Zn 2.98
2 Sm 0.2774 0.2774 0.5549  4 Zn 2.98
3 Ho 0.0000 0.0000 0.0000  8 Zn 2.92
4 Zn 0.3937 0.8937 0.7875  1 Zn 2.69, 2 Ho 2.92, 2 Sm 2.98
5 Zn 0.8937 0.3937 0.7875  1 Zn 2.69, 2 Ho 2.92, 2 Sm 2.98
6 Zn 0.6063 0.1063 0.2125  1 Zn 2.69, 2 Ho 2.92, 2 Sm 2.98
7 Zn 0.1063 0.6063 0.2125  1 Zn 2.69, 2 Ho 2.92, 2 Sm 2.98

Entry from Alexandria via LeMat-Bulk: a geometry-optimized Ba8Ag2Au structure (PBE).

Values from the calculation:
SG: C2/m (12)
energy of formation from the pure elements: -209 meV per atom
energy above the lowest structure with this stoichiometry: 0 meV per atom

abc: 8.0283 8.9412 8.9412
angles: 71.10 75.40 75.40
With the nearest neighbours (Å) after each atom.
Positions (direct):
1 Ba 0.2428 0.6420 0.0606  1 Au 3.26, 2 Ag 3.43-3.57
2 Ba 0.7572 0.9394 0.3580  1 Au 3.26, 2 Ag 3.43-3.57
3 Ba 0.2635 0.1302 0.1302  1 Au 3.25, 1 Ag 3.48
4 Ba 0.7365 0.8698 0.8698  1 Au 3.25, 1 Ag 3.48
5 Ba 0.2428 0.0606 0.6420  1 Au 3.26, 2 Ag 3.43-3.57
6 Ba 0.7572 0.3580 0.9394  1 Au 3.26, 2 Ag 3.43-3.57
7 Ba 0.7726 0.4225 0.4225  2 Ag 3.39-3.70
8 Ba 0.2274 0.5775 0.5775  2 Ag 3.39-3.70
9 Ag 0.4555 0.3140 0.3140  7 Ba 3.39-3.70
10 Ag 0.5445 0.6860 0.6860  7 Ba 3.39-3.70
11 Au 0.0000 0.0000 0.0000  6 Ba 3.25-3.26

Entry from Alexandria via LeMat-Bulk: a geometry-optimized AlSnMo structure (PBE).

Values from the calculation:
SG: C2/m (12)
energy of formation from the pure elements: 37 meV per atom

abc: 3.1691 7.0859 7.5939
angles: 133.71 102.04 90.00
With the nearest neighbours (Å) after each atom.
Positions (direct):
1 Al 0.4158 0.1016 0.8316  4 Mo 2.67-2.77, 2 Sn 2.75-2.92
2 Al 0.5842 0.8984 0.1684  4 Mo 2.67-2.77, 2 Sn 2.75-2.92
3 Sn 0.3338 0.3488 0.6676  2 Al 2.75-2.92, 3 Mo 2.85-2.89
4 Sn 0.6662 0.6512 0.3324  2 Al 2.75-2.92, 3 Mo 2.85-2.89
5 Mo 0.8930 0.7656 0.7860  1 Mo 2.49, 4 Al 2.67-2.77
6 Mo 0.1070 0.2344 0.2140  1 Mo 2.49, 4 Al 2.67-2.77

Entry from Alexandria via LeMat-Bulk: a geometry-optimized Zr2ZnRe structure (PBE).

Values from the calculation:
SG: Imm2 (44)
energy of formation from the pure elements: -70 meV per atom

abc: 5.5519 5.5519 4.5808
angles: 65.69 65.69 35.98
With the nearest neighbours (Å) after each atom.
Positions (direct):
1 Re 0.4962 0.4962 0.5037  2 Zn 2.72, 6 Zr 2.80-2.86
2 Zn 0.7741 0.7741 0.7261  2 Re 2.72, 4 Zr 2.89
3 Zr 0.0006 0.0006 0.9994  4 Re 2.86, 4 Zr 3.10-3.16, 4 Zn 3.12-3.15
4 Zr 0.2291 0.2291 0.2709  2 Re 2.80, 4 Zn 2.89, 2 Zr 3.10

Entry from Alexandria via LeMat-Bulk: a geometry-optimized Dy2BeGe4Pd3 structure (PBE).

Values from the calculation:
SG: P-4m2 (115)
energy of formation from the pure elements: -672 meV per atom

abc: 4.0299 4.0299 11.0714
angles: 90.00 90.00 90.00
With the nearest neighbours (Å) after each atom.
Positions (direct):
1 Dy 0.5000 0.0000 0.2676  4 Ge 3.06, 6 Pd 3.16-3.27, 2 Be 3.27
2 Dy 0.0000 0.5000 0.7324  4 Ge 3.06, 6 Pd 3.16-3.27, 2 Be 3.27
3 Be 0.5000 0.5000 0.5000  4 Ge 2.49
4 Ge 0.5000 0.5000 0.0000  4 Pd 2.58, 4 Ge 2.85
5 Ge 0.0000 0.0000 0.0000  4 Pd 2.58, 4 Ge 2.85
6 Ge 0.5000 0.0000 0.6323  3 Pd 2.46-2.49, 2 Be 2.49
7 Ge 0.0000 0.5000 0.3677  3 Pd 2.46-2.49, 2 Be 2.49
8 Pd 0.0000 0.0000 0.5000  4 Ge 2.49
9 Pd 0.5000 0.0000 0.8548  5 Ge 2.46-2.58
10 Pd 0.0000 0.5000 0.1452  5 Ge 2.46-2.58

Entry from Alexandria via LeMat-Bulk: a geometry-optimized In3Ag2 structure (PBE).

Values from the calculation:
SG: Fdd2 (43)
energy of formation from the pure elements: 34 meV per atom
energy above the lowest structure with this stoichiometry: 11 meV per atom

abc: 9.4689 7.3006 7.0492
angles: 82.56 49.86 47.58
With the nearest neighbours (Å) after each atom.
Positions (direct):
1 In 0.3771 0.4139 0.7896  5 Ag 2.94-3.07, 3 In 3.10-3.24
2 In 0.4194 0.7896 0.4139  5 Ag 2.94-3.07, 3 In 3.10-3.24
3 In 0.8361 0.8729 0.8306  5 Ag 2.94-3.07, 3 In 3.10-3.24
4 In 0.4604 0.8306 0.8729  5 Ag 2.94-3.07, 3 In 3.10-3.24
5 In 0.8885 0.1115 0.1115  4 Ag 2.91-3.11, 6 In 3.10-3.24
6 In 0.1385 0.3615 0.3615  4 Ag 2.91-3.11, 6 In 3.10-3.24
7 Ag 0.4026 0.5182 0.1669  7 In 2.91-3.11, 2 Ag 2.94
8 Ag 0.9123 0.1669 0.5182  7 In 2.91-3.11, 2 Ag 2.94
9 Ag 0.7318 0.8474 0.3377  7 In 2.91-3.11, 2 Ag 2.94
10 Ag 0.0831 0.3377 0.8474  7 In 2.91-3.11, 2 Ag 2.94

Entry from Alexandria via LeMat-Bulk: a geometry-optimized Al5SiNi2 structure (PBE).

Values from the calculation:
SG: I4/mmm (139)
energy above the lowest structure with this stoichiometry: 0 meV per atom
ΔE_f (raw): -0.259 eV/atom

abc: 7.9670 7.9670 7.9670
angles: 151.81 151.81 40.29
With the nearest neighbours (Å) after each atom.
Positions (direct):
1 Al 0.5000 0.5000 0.0000  4 Si 2.74, 8 Al 2.90
2 Al 0.1440 0.6440 0.5000  4 Ni 2.50-2.51, 4 Al 2.74
3 Al 0.6440 0.1440 0.5000  4 Ni 2.50-2.51, 4 Al 2.74
4 Al 0.8560 0.3560 0.5000  4 Ni 2.50-2.51, 4 Al 2.74
5 Al 0.3560 0.8560 0.5000  4 Ni 2.50-2.51, 4 Al 2.74
6 Si 0.0000 0.0000 0.0000  12 Al 2.74-2.90
7 Ni 0.2509 0.2509 0.0000  8 Al 2.50-2.51, 4 Ni 2.74
8 Ni 0.7491 0.7491 0.0000  8 Al 2.50-2.51, 4 Ni 2.74

Number 1: E -4.58 eV/atom, total magnetization 0.0 μB per formula unit, Fermi-level density of states 0.409 states/eV/atom. Number 2: E -2.89 eV/atom, total magnetization 0.0 μB per formula unit, Fermi-level density of states 0.735 states/eV/atom. Number 3: E -2.42 eV/atom, total magnetization 0.0 μB per formula unit, Fermi-level density of states 1.084 states/eV/atom. Number 4: E -6.15 eV/atom, total magnetization 0.0 μB per formula unit, Fermi-level density of states 0.398 states/eV/atom. Number 5: E -7.77 eV/atom, total magnetization 0.0 μB per formula unit, Fermi-level density of states 0.990 states/eV/atom. Number 6: E -5.37 eV/atom, total magnetization 0.0 μB per formula unit, Fermi-level density of states 0.334 states/eV/atom. Number 7: E -2.75 eV/atom, total magnetization 0.0 μB per formula unit, Fermi-level density of states 0.243 states/eV/atom. Number 8: E -4.72 eV/atom, total magnetization 0.0 μB per formula unit, Fermi-level density of states 0.470 states/eV/atom.